Here is crystalline Cr2FeRe at its relaxed geometry from Alexandria. Energies are from GGA-PBE.

Computed properties:
Density in g cm⁻³: 11.45
V in Å³ per atom: 12.55
Energy of formation from the pure elements in eV per atom: 0.282

a = 2.6170 Å, b = 2.6170 Å, c = 25.3934 Å
α = 90.00°, β = 90.00°, γ = 120.00°
Space group R-3m (No. 166, hexagonal axes)
Asymmetric unit:
Cr (0.0000, 0.0000, 0.2443)
Fe (0.0000, 0.0000, 0.5000)
Re (0.0000, 0.0000, 0.0000)

=====

Here is crystalline BaLa2Sb at its relaxed geometry from Alexandria. Energies are from GGA-PBE.

Computed properties:
Density in g cm⁻³: 6.52
V in Å³ per atom: 34.20
Energy relative to the elements, uncorrected in eV/atom: -0.407

a = 5.101 Å, b = 5.101 Å, c = 10.516 Å
α = 90.00°, β = 90.00°, γ = 90.00°
Space group I4/mmm (No. 139)
Asymmetric unit:
Ba (0.000, 0.000, 0.000)
La (0.000, 0.500, 0.250)
Sb (0.000, 0.000, 0.500)

=====

Here is crystalline Sm2SnPd6 at its relaxed geometry from Alexandria. Energies are from GGA-PBE.

Computed properties:
Density in g cm⁻³: 8.99
V in Å³ per atom: 21.72
Energy of formation from the pure elements in eV per atom: -0.503

a = 12.819 Å, b = 8.108 Å, c = 3.952 Å
α = 90.00°, β = 107.88°, γ = 90.00°
Space group C2/m (No. 12)
Asymmetric unit:
Sm (0.159, 0.000, 0.162)
Sn (0.000, 0.500, 0.500)
Pd (0.000, 0.275, 0.000)
Pd (0.164, 0.266, 0.665)

=====

Here is crystalline La8AsPt3I4 at its relaxed geometry from Alexandria. Energies are from GGA-PBE.

Computed properties:
Density in g cm⁻³: 7.13
V in Å³ per atom: 33.18
Energy relative to the elements, uncorrected in eV/atom: -1.223

a = 8.7391 Å, b = 8.7391 Å, c = 24.0766 Å
α = 90.00°, β = 90.00°, γ = 120.00°
Space group R-3m (No. 166, hexagonal axes)
Asymmetric unit:
La (0.0000, 0.0000, 0.2294)
La (0.0074, 0.5037, 0.7677)
As (0.0000, 0.0000, 0.5000)
Pt (0.0000, 0.5000, 0.5000)
I (0.0000, 0.0000, 0.0000)
I (0.0000, 0.5000, 0.0000)

=====

Here is crystalline LiAc3Ru at its relaxed geometry from Alexandria. Energies are from GGA-PBE.

Computed properties:
Density in g cm⁻³: 6.75
V in Å³ per atom: 38.81
Energy of formation from the pure elements in eV per atom: -0.065

a = 5.789 Å, b = 5.789 Å, c = 5.789 Å
α = 90.00°, β = 90.00°, γ = 90.00°
Space group Pm-3m (No. 221)
Asymmetric unit:
Li (0.000, 0.000, 0.000)
Ac (0.000, 0.500, 0.500)
Ru (0.500, 0.500, 0.500)

=====

Here is crystalline HPd6Se2 at its relaxed geometry from Alexandria. Energies are from GGA-PBE.

Computed properties:
Density in g cm⁻³: 9.47
DFT total energy in eV/atom: -4.7190
V in Å³ per atom: 15.54

a = 4.868 Å, b = 7.929 Å, c = 8.600 Å
α = 90.00°, β = 122.58°, γ = 90.00°
Space group P2_1/c (No. 14)
Asymmetric unit:
H (0.000, 0.000, 0.000)
Pd (0.011, 0.114, 0.234)
Pd (0.284, 0.621, 0.045)
Pd (0.318, 0.143, 0.035)
Se (0.310, 0.130, 0.738)

=====

Here is crystalline Zn6Pt2Au at its relaxed geometry from Alexandria. Energies are from GGA-PBE.

Computed properties:
Density in g cm⁻³: 12.06
V in Å³ per atom: 14.98
Energy of formation from the pure elements in eV per atom: -0.332

a = 8.671 Å, b = 3.879 Å, c = 8.383 Å
α = 90.00°, β = 106.95°, γ = 90.00°
Space group C2/m (No. 12)
Asymmetric unit:
Zn (0.002, 0.000, 0.331)
Zn (0.166, 0.500, 0.557)
Zn (0.166, 0.500, 0.888)
Pt (0.178, 0.500, 0.239)
Au (0.000, 0.000, 0.000)

=====

Here is crystalline MnCoW2 at its relaxed geometry from Alexandria. Energies are from GGA-PBE.

Computed properties:
Density in g cm⁻³: 14.80
V in Å³ per atom: 13.50
Energy of formation from the pure elements in eV per atom: 0.143

a = 3.840 Å, b = 3.840 Å, c = 3.664 Å
α = 90.00°, β = 90.00°, γ = 90.00°
Space group P4/mmm (No. 123)
Asymmetric unit:
Mn (0.000, 0.000, 0.000)
Co (0.500, 0.500, 0.000)
W (0.000, 0.500, 0.500)